Record 1
# GGA-PBEsol U2AsSe, optimized geometry
# Final energy   -9.059 eV per atom
data_U2AsSe
_chemical_formula_sum 'U8 As4 Se4'
_cell_length_a 5.6438
_cell_length_b 5.6438
_cell_length_c 11.2952
_cell_angle_alpha 90.00
_cell_angle_beta 90.00
_cell_angle_gamma 90.00
_symmetry_space_group_name_H-M 'I 41/a m d'
_symmetry_Int_Tables_number 141
loop_
_symmetry_equiv_pos_as_xyz
'x,y,z'
'-x,-y,-z'
'-y+1/4,x+3/4,z+1/4'
'y+1/4,-x+3/4,-z+1/4'
'-x+1/2,-y,z+1/2'
'x+1/2,y,-z+1/2'
'y+1/4,-x+1/4,z+3/4'
'-y+1/4,x+1/4,-z+3/4'
'x,-y,-z'
'-x,y,z'
'-y+1/4,-x+1/4,-z+3/4'
'y+1/4,x+1/4,z+3/4'
'-x+1/2,y,-z+1/2'
'x+1/2,-y,z+1/2'
'y+1/4,x+3/4,-z+1/4'
'-y+1/4,-x+3/4,z+1/4'
'x+1/2,y+1/2,z+1/2'
'-x+1/2,-y+1/2,-z+1/2'
'-y+3/4,x+1/4,z+3/4'
'y+3/4,-x+1/4,-z+3/4'
'-x,-y+1/2,z'
'x,y+1/2,-z'
'y+3/4,-x+3/4,z+1/4'
'-y+3/4,x+3/4,-z+1/4'
'x+1/2,-y+1/2,-z+1/2'
'-x+1/2,y+1/2,z+1/2'
'-y+3/4,-x+3/4,-z+1/4'
'y+3/4,x+3/4,z+1/4'
'-x,y+1/2,-z'
'x,-y+1/2,z'
'y+3/4,x+1/4,-z+3/4'
'-y+3/4,-x+1/4,z+3/4'
loop_
_atom_site_label
_atom_site_fract_x
_atom_site_fract_y
_atom_site_fract_z
U1 0.0000 0.2500 0.1254
As1 0.0000 0.2500 0.3750
Se1 0.0000 0.2500 0.8750


Record 2
# GGA-PBEsol AsW2Se, optimized geometry
# Excess energy over the best structure of this formula in the dataset   0 meV/atom
data_AsW2Se
_chemical_formula_sum 'As1 W2 Se1'
_cell_length_a 3.1113
_cell_length_b 3.1113
_cell_length_c 6.2162
_cell_angle_alpha 90.00
_cell_angle_beta 90.00
_cell_angle_gamma 90.00
_symmetry_space_group_name_H-M 'P 4/m m m'
_symmetry_Int_Tables_number 123
_symmetry_space_group_name_Hall '-P 4 2'
loop_
_atom_site_label
_atom_site_fract_x
_atom_site_fract_y
_atom_site_fract_z
As1 0.0000 0.0000 0.0000
W1 0.5000 0.5000 0.2386
Se1 0.0000 0.0000 0.5000


Record 3
# GGA-PBEsol AsW2Se, optimized geometry
# Excess energy over the best structure of this formula in the dataset   407 meV/atom
data_AsW2Se
_chemical_formula_sum 'As2 W4 Se2'
_cell_length_a 5.4283
_cell_length_b 8.4777
_cell_length_c 3.3385
_cell_angle_alpha 90.00
_cell_angle_beta 121.12
_cell_angle_gamma 90.00
_symmetry_space_group_name_H-M 'C 1 2/m 1'
_symmetry_Int_Tables_number 12
loop_
_symmetry_equiv_pos_as_xyz
'x,y,z'
'-x,-y,-z'
'-x,y,-z'
'x,-y,z'
'x+1/2,y+1/2,z'
'-x+1/2,-y+1/2,-z'
'-x+1/2,y+1/2,-z'
'x+1/2,-y+1/2,z'
loop_
_atom_site_label
_atom_site_fract_x
_atom_site_fract_y
_atom_site_fract_z
As1 0.0000 0.0000 0.0000
W1 0.2500 0.2500 0.5000
Se1 0.0000 0.5000 0.0000


Record 4
# GGA-PBEsol AsW2Se, optimized geometry
# Excess energy over the best structure of this formula in the dataset   487 meV/atom
data_AsW2Se
_chemical_formula_sum 'As4 W8 Se4'
_cell_length_a 6.3933
_cell_length_b 6.3933
_cell_length_c 6.3933
_cell_angle_alpha 90.00
_cell_angle_beta 90.00
_cell_angle_gamma 90.00
_symmetry_space_group_name_H-M 'F -4 3 m'
_symmetry_Int_Tables_number 216
_symmetry_space_group_name_Hall 'F -4 2 3'
loop_
_atom_site_label
_atom_site_fract_x
_atom_site_fract_y
_atom_site_fract_z
As1 0.0000 0.0000 0.0000
W1 0.0000 0.0000 0.5000
W2 0.2500 0.2500 0.2500
Se1 0.2500 0.2500 0.7500


Record 5
# GGA-PBEsol ZnAs2WSe, optimized geometry
# Final energy   -4.497 eV per atom
data_ZnAs2WSe
_chemical_formula_sum 'Zn1 As2 W1 Se1'
_cell_length_a 4.6050
_cell_length_b 4.6050
_cell_length_c 4.7756
_cell_angle_alpha 90.00
_cell_angle_beta 90.00
_cell_angle_gamma 90.00
_symmetry_space_group_name_H-M 'P 4/m m m'
_symmetry_Int_Tables_number 123
_symmetry_space_group_name_Hall '-P 4 2'
loop_
_atom_site_label
_atom_site_fract_x
_atom_site_fract_y
_atom_site_fract_z
Zn1 0.0000 0.0000 0.0000
As1 0.0000 0.5000 0.0000
W1 0.5000 0.5000 0.5000
Se1 0.0000 0.0000 0.5000


Record 6
# GGA-PBEsol YAsSe2, optimized geometry
# Final energy   -5.687 eV per atom
data_YAsSe2
_chemical_formula_sum 'Y2 As2 Se4'
_cell_length_a 9.6808
_cell_length_b 3.7354
_cell_length_c 5.0453
_cell_angle_alpha 90.00
_cell_angle_beta 93.96
_cell_angle_gamma 90.00
_symmetry_space_group_name_H-M 'C 1 2/m 1'
_symmetry_Int_Tables_number 12
loop_
_symmetry_equiv_pos_as_xyz
'x,y,z'
'-x,-y,-z'
'-x,y,-z'
'x,-y,z'
'x+1/2,y+1/2,z'
'-x+1/2,-y+1/2,-z'
'-x+1/2,y+1/2,-z'
'x+1/2,-y+1/2,z'
loop_
_atom_site_label
_atom_site_fract_x
_atom_site_fract_y
_atom_site_fract_z
Y1 0.0000 0.0000 0.0000
As1 0.0000 0.5000 0.5000
Se1 0.2037 0.5000 0.2147


Record 7
# GGA-PBEsol YAsSe2, optimized geometry
# Final energy   -5.826 eV per atom
data_YAsSe2
_chemical_formula_sum 'Y1 As1 Se2'
_cell_length_a 3.8314
_cell_length_b 3.6395
_cell_length_c 6.3318
_cell_angle_alpha 90.00
_cell_angle_beta 103.43
_cell_angle_gamma 90.00
_symmetry_space_group_name_H-M 'P 1 2/m 1'
_symmetry_Int_Tables_number 10
loop_
_symmetry_equiv_pos_as_xyz
'x,y,z'
'-x,-y,-z'
'-x,y,-z'
'x,-y,z'
loop_
_atom_site_label
_atom_site_fract_x
_atom_site_fract_y
_atom_site_fract_z
Y1 0.0000 0.0000 0.0000
As1 0.0000 0.0000 0.5000
Se1 0.3820 0.5000 0.7560


Record 8
# GGA-PBEsol YAsSe, optimized geometry
# Final energy   -6.768 eV per atom
data_YAsSe
_chemical_formula_sum 'Y4 As4 Se4'
_cell_length_a 17.2837
_cell_length_b 3.8544
_cell_length_c 3.8869
_cell_angle_alpha 90.00
_cell_angle_beta 90.00
_cell_angle_gamma 90.00
_symmetry_space_group_name_H-M 'P n m a'
_symmetry_Int_Tables_number 62
loop_
_symmetry_equiv_pos_as_xyz
'x,y,z'
'-x,-y,-z'
'-x+1/2,-y,z+1/2'
'x+1/2,y,-z+1/2'
'x+1/2,-y+1/2,-z+1/2'
'-x+1/2,y+1/2,z+1/2'
'-x,y+1/2,-z'
'x,-y+1/2,z'
loop_
_atom_site_label
_atom_site_fract_x
_atom_site_fract_y
_atom_site_fract_z
Y1 0.1393 0.2500 0.2343
As1 0.0015 0.2500 0.7175
Se1 0.1881 0.7500 0.7362


Record 9
# GGA-PBEsol YAsSe2, optimized geometry
# Final energy   -5.774 eV per atom
data_YAsSe2
_chemical_formula_sum 'Y2 As2 Se4'
_cell_length_a 3.9972
_cell_length_b 3.9972
_cell_length_c 10.4525
_cell_angle_alpha 90.00
_cell_angle_beta 90.00
_cell_angle_gamma 90.00
_symmetry_space_group_name_H-M 'I -4 m 2'
_symmetry_Int_Tables_number 119
_symmetry_space_group_name_Hall 'I -4 -2'
loop_
_atom_site_label
_atom_site_fract_x
_atom_site_fract_y
_atom_site_fract_z
Y1 0.0000 0.0000 0.0000
As1 0.0000 0.5000 0.2500
Se1 0.0000 0.0000 0.5000
Se2 0.0000 0.5000 0.7500


Record 10
# GGA-PBEsol Zn4AsSe, optimized geometry
# Final energy   -2.330 eV per atom
data_Zn4AsSe
_chemical_formula_sum 'Zn16 As4 Se4'
_cell_length_a 7.3358
_cell_length_b 7.3358
_cell_length_c 7.3358
_cell_angle_alpha 90.00
_cell_angle_beta 90.00
_cell_angle_gamma 90.00
_symmetry_space_group_name_H-M 'F -4 3 m'
_symmetry_Int_Tables_number 216
_symmetry_space_group_name_Hall 'F -4 2 3'
loop_
_atom_site_label
_atom_site_fract_x
_atom_site_fract_y
_atom_site_fract_z
Zn1 0.1251 0.1251 0.1251
As1 0.0000 0.0000 0.5000
Se1 0.2500 0.2500 0.7500


Record 11
# GGA-PBEsol ZnAsSe2, optimized geometry
# Final energy   -3.398 eV per atom
data_ZnAsSe2
_chemical_formula_sum 'Zn1 As1 Se2'
_cell_length_a 4.7025
_cell_length_b 4.7025
_cell_length_c 3.3097
_cell_angle_alpha 90.00
_cell_angle_beta 90.00
_cell_angle_gamma 90.00
_symmetry_space_group_name_H-M 'P 4/m m m'
_symmetry_Int_Tables_number 123
_symmetry_space_group_name_Hall '-P 4 2'
loop_
_atom_site_label
_atom_site_fract_x
_atom_site_fract_y
_atom_site_fract_z
Zn1 0.0000 0.0000 0.0000
As1 0.5000 0.5000 0.0000
Se1 0.0000 0.5000 0.5000


Record 12
# GGA-PBEsol ZnAsSe3, optimized geometry
# Final energy   -3.133 eV per atom
data_ZnAsSe3
_chemical_formula_sum 'Zn1 As1 Se3'
_cell_length_a 4.9468
_cell_length_b 4.9468
_cell_length_c 4.9468
_cell_angle_alpha 90.00
_cell_angle_beta 90.00
_cell_angle_gamma 90.00
_symmetry_space_group_name_H-M 'P m -3 m'
_symmetry_Int_Tables_number 221
_symmetry_space_group_name_Hall '-P 4 2 3'
loop_
_atom_site_label
_atom_site_fract_x
_atom_site_fract_y
_atom_site_fract_z
Zn1 0.0000 0.0000 0.0000
As1 0.5000 0.5000 0.5000
Se1 0.0000 0.5000 0.5000


Record 13
# GGA-PBEsol ZrZnAsSe2, optimized geometry
# Final energy   -4.461 eV per atom
data_ZrZnAsSe2
_chemical_formula_sum 'Zr1 Zn1 As1 Se2'
_cell_length_a 4.7589
_cell_length_b 4.7589
_cell_length_c 4.6799
_cell_angle_alpha 90.00
_cell_angle_beta 90.00
_cell_angle_gamma 90.00
_symmetry_space_group_name_H-M 'P 4/m m m'
_symmetry_Int_Tables_number 123
_symmetry_space_group_name_Hall '-P 4 2'
loop_
_atom_site_label
_atom_site_fract_x
_atom_site_fract_y
_atom_site_fract_z
Zr1 0.0000 0.0000 0.0000
Zn1 0.5000 0.5000 0.5000
As1 0.5000 0.5000 0.0000
Se1 0.0000 0.5000 0.5000